# PBE-GGA Cs2VIr2, relaxed
# DOS(E_F) in states/eV/atom: 0.608
# E_form in eV/atom: 0.71
# ρ in g cm⁻³: 8.8
data_Cs2VIr2
_chemical_formula_sum 'Cs4 V2 Ir4'
_space_group_name_H-M_alt 'P 4/m b m'
_space_group_IT_number 127
_space_group_name_Hall '-P 4 2ab'
_cell_length_a 6.530
_cell_length_b 6.530
_cell_length_c 6.198
_cell_angle_alpha 90.00
_cell_angle_beta 90.00
_cell_angle_gamma 90.00
loop_
_atom_site_label
_atom_site_type_symbol
_atom_site_fract_x
_atom_site_fract_y
_atom_site_fract_z
_atom_site_occupancy
Cs1 Cs 0.182 0.318 0.000 1
V1 V 0.000 0.000 0.500 1
Ir1 Ir 0.136 0.636 0.500 1

=====

# PBE-GGA CsV2Ir, relaxed
# DOS(E_F) in states/eV/atom: 1.593
# E_form in eV/atom: 1.34
# ρ in g cm⁻³: 10.2
data_CsV2Ir
_chemical_formula_sum 'Cs4 V8 Ir4'
_space_group_name_H-M_alt 'F m -3 m'
_space_group_IT_number 225
_space_group_name_Hall '-F 4 2 3'
_cell_length_a 6.528
_cell_length_b 6.528
_cell_length_c 6.528
_cell_angle_alpha 90.00
_cell_angle_beta 90.00
_cell_angle_gamma 90.00
loop_
_atom_site_label
_atom_site_type_symbol
_atom_site_fract_x
_atom_site_fract_y
_atom_site_fract_z
_atom_site_occupancy
Cs1 Cs 0.000 0.000 0.000 1
V1 V 0.250 0.250 0.250 1
Ir1 Ir 0.000 0.000 0.500 1

=====

# PBE-GGA CsIr3W, relaxed
# DOS(E_F) in states/eV/atom: 2.124
# E_form in eV/atom: 3.71
# Energy above the lowest structure with this stoichiometry in eV/atom: 2.3177
# ρ in g cm⁻³: 12.9
data_CsIr3W
_chemical_formula_sum 'Cs1 Ir3 W1'
_space_group_name_H-M_alt 'P m -3 m'
_space_group_IT_number 221
_space_group_name_Hall '-P 4 2 3'
_cell_length_a 4.857
_cell_length_b 4.857
_cell_length_c 4.857
_cell_angle_alpha 90.00
_cell_angle_beta 90.00
_cell_angle_gamma 90.00
loop_
_atom_site_label
_atom_site_type_symbol
_atom_site_fract_x
_atom_site_fract_y
_atom_site_fract_z
_atom_site_occupancy
Cs1 Cs 0.000 0.000 0.000 1
Ir1 Ir 0.000 0.000 0.500 1
W1 W 0.500 0.500 0.500 1

=====

# PBE-GGA Cs2IrW, relaxed
# DOS(E_F) in states/eV/atom: 1.274
# E_form in eV/atom: 2.45
# ρ in g cm⁻³: 7.8
data_Cs2IrW
_chemical_formula_sum 'Cs8 Ir4 W4'
_space_group_name_H-M_alt 'F m -3 m'
_space_group_IT_number 225
_space_group_name_Hall '-F 4 2 3'
_cell_length_a 8.173
_cell_length_b 8.173
_cell_length_c 8.173
_cell_angle_alpha 90.00
_cell_angle_beta 90.00
_cell_angle_gamma 90.00
loop_
_atom_site_label
_atom_site_type_symbol
_atom_site_fract_x
_atom_site_fract_y
_atom_site_fract_z
_atom_site_occupancy
Cs1 Cs 0.250 0.250 0.250 1
Ir1 Ir 0.000 0.000 0.000 1
W1 W 0.000 0.000 0.500 1

=====

# PBE-GGA CsIr3W, relaxed
# DOS(E_F) in states/eV/atom: 0.810
# E_form in eV/atom: 1.39
# Energy above the lowest structure with this stoichiometry in eV/atom: 0.0000
# ρ in g cm⁻³: 12.5
data_CsIr3W
_chemical_formula_sum 'Cs1 Ir3 W1'
_space_group_name_H-M_alt 'P m -3 m'
_space_group_IT_number 221
_space_group_name_Hall '-P 4 2 3'
_cell_length_a 4.918
_cell_length_b 4.918
_cell_length_c 4.918
_cell_angle_alpha 90.00
_cell_angle_beta 90.00
_cell_angle_gamma 90.00
loop_
_atom_site_label
_atom_site_type_symbol
_atom_site_fract_x
_atom_site_fract_y
_atom_site_fract_z
_atom_site_occupancy
Cs1 Cs 0.000 0.000 0.000 1
Ir1 Ir 0.000 0.500 0.500 1
W1 W 0.500 0.500 0.500 1

=====

# PBE-GGA Cs3IrW, relaxed
# DOS(E_F) in states/eV/atom: 0.403
# E_form in eV/atom: 1.81
# ρ in g cm⁻³: 4.9
data_Cs3IrW
_chemical_formula_sum 'Cs3 Ir1 W1'
_space_group_name_H-M_alt 'P m -3 m'
_space_group_IT_number 221
_space_group_name_Hall '-P 4 2 3'
_cell_length_a 6.396
_cell_length_b 6.396
_cell_length_c 6.396
_cell_angle_alpha 90.00
_cell_angle_beta 90.00
_cell_angle_gamma 90.00
loop_
_atom_site_label
_atom_site_type_symbol
_atom_site_fract_x
_atom_site_fract_y
_atom_site_fract_z
_atom_site_occupancy
Cs1 Cs 0.000 0.000 0.500 1
Ir1 Ir 0.000 0.000 0.000 1
W1 W 0.500 0.500 0.500 1

=====

# PBE-GGA CsY2Ir, relaxed
# DOS(E_F) in states/eV/atom: 0.003
# E_form in eV/atom: 0.24
# Energy above the lowest structure with this stoichiometry in eV/atom: 0.0000
# ρ in g cm⁻³: 3.8
data_CsY2Ir
_chemical_formula_sum 'Cs4 Y8 Ir4'
_space_group_name_H-M_alt 'I -4 2 d'
_space_group_IT_number 122
_space_group_name_Hall 'I -4 2bw'
_cell_length_a 8.530
_cell_length_b 8.530
_cell_length_c 12.122
_cell_angle_alpha 90.00
_cell_angle_beta 90.00
_cell_angle_gamma 90.00
loop_
_atom_site_label
_atom_site_type_symbol
_atom_site_fract_x
_atom_site_fract_y
_atom_site_fract_z
_atom_site_occupancy
Cs1 Cs 0.000 0.000 0.000 1
Y1 Y 0.004 0.250 0.625 1
Ir1 Ir 0.000 0.000 0.500 1

=====

# PBE-GGA Cs2YIr, relaxed
# DOS(E_F) in states/eV/atom: 1.542
# E_form in eV/atom: 1.28
# Energy above the lowest structure with this stoichiometry in eV/atom: 0.7714
# ρ in g cm⁻³: 7.4
data_Cs2YIr
_chemical_formula_sum 'Cs8 Y4 Ir4'
_space_group_name_H-M_alt 'F m -3 m'
_space_group_IT_number 225
_space_group_name_Hall '-F 4 2 3'
_cell_length_a 7.894
_cell_length_b 7.894
_cell_length_c 7.894
_cell_angle_alpha 90.00
_cell_angle_beta 90.00
_cell_angle_gamma 90.00
loop_
_atom_site_label
_atom_site_type_symbol
_atom_site_fract_x
_atom_site_fract_y
_atom_site_fract_z
_atom_site_occupancy
Cs1 Cs 0.250 0.250 0.250 1
Y1 Y 0.000 0.000 0.000 1
Ir1 Ir 0.000 0.000 0.500 1